1.
CuNi2Au: relaxed, PBE-GGA.

Lattice parameters (Å, degrees): 3.563 2.716 6.016 63.25 90.00 90.00
Site moments in Bohr magnetons follow the coordinates.
Positions (direct):
1 Cu 0.500 0.750 0.750  0.04
2 Ni 0.000 0.478 0.523  0.41
3 Au 0.500 0.250 0.250  0.03
4 Ni 0.000 0.022 0.977  0.41



2.
Cu15Ni2Au2: relaxed, PBE-GGA.

Lattice parameters (Å, degrees): 6.331 6.331 6.331 81.68 81.68 81.68
Positions (direct):
1 Cu 0.701 0.299 0.000
2 Cu 0.000 0.000 0.500
3 Cu 0.846 0.352 0.352
4 Cu 0.701 0.000 0.299
5 Cu 0.000 0.701 0.299
6 Au 0.670 0.670 0.670
7 Cu 0.352 0.352 0.846
8 Cu 0.154 0.648 0.648
9 Cu 0.000 0.500 0.000
10 Cu 0.648 0.648 0.154
11 Ni 0.903 0.903 0.903
12 Cu 0.648 0.154 0.648
13 Cu 0.299 0.000 0.701
14 Ni 0.097 0.097 0.097
15 Cu 0.352 0.846 0.352
16 Cu 0.500 0.000 0.000
17 Cu 0.299 0.701 0.000
18 Cu 0.000 0.299 0.701
19 Au 0.330 0.330 0.330



3.
Cu8NiAu3: relaxed, PBE-GGA.

Lattice parameters (Å, degrees): 6.410 6.410 6.410 95.06 117.12 117.12
Positions (direct):
1 Cu 0.000 0.645 0.910
2 Cu 0.000 0.809 0.281
3 Cu 0.529 0.719 0.719
4 Cu 0.000 0.281 0.809
5 Au 0.500 0.250 0.750
6 Cu 0.265 0.355 0.355
7 Cu 0.735 0.090 0.090
8 Cu 0.471 0.191 0.191
9 Au 0.500 0.750 0.250
10 Cu 0.000 0.910 0.645
11 Ni 0.000 0.000 0.000
12 Au 0.000 0.500 0.500



4.
CuNi6Au: relaxed, PBE-GGA.

Lattice parameters (Å, degrees): 6.273 6.273 10.299 90.00 90.00 109.79
Site moments in Bohr magnetons follow the coordinates.
Positions (direct):
1 Ni 0.383 0.129 0.630  0.56
2 Ni 0.381 0.135 0.119  0.53
3 Ni 0.381 0.135 0.381  0.53
4 Ni 0.871 0.617 0.630  0.56
5 Au 0.000 0.000 0.997  0.03
6 Cu 0.500 0.500 0.995  0.01
7 Au 0.000 0.000 0.503  0.03
8 Ni 0.746 0.254 0.508  0.56
9 Ni 0.135 0.381 0.119  0.53
10 Ni 0.000 0.000 0.250  0.53
11 Ni 0.619 0.865 0.381  0.53
12 Ni 0.871 0.617 0.870  0.56
13 Ni 0.000 0.000 0.750  0.51
14 Ni 0.619 0.865 0.119  0.53
15 Ni 0.254 0.746 0.992  0.56
16 Ni 0.500 0.500 0.250  0.57
17 Ni 0.865 0.619 0.381  0.53
18 Cu 0.500 0.500 0.505  0.01
19 Ni 0.500 0.500 0.750  0.55
20 Ni 0.129 0.383 0.630  0.56
21 Au 0.247 0.753 0.250  0.03
22 Cu 0.752 0.248 0.750  0.01
23 Ni 0.254 0.746 0.508  0.56
24 Ni 0.135 0.381 0.381  0.53
25 Ni 0.129 0.383 0.870  0.56
26 Ni 0.865 0.619 0.119  0.53
27 Ni 0.617 0.871 0.630  0.56
28 Ni 0.617 0.871 0.870  0.56
29 Ni 0.383 0.129 0.870  0.56
30 Cu 0.248 0.752 0.750  0.01
31 Ni 0.746 0.254 0.992  0.56
32 Au 0.753 0.247 0.250  0.03



5.
CuNi2Au: relaxed, PBE-GGA.

Lattice parameters (Å, degrees): 2.762 2.762 6.790 90.00 90.00 90.00
Site moments in Bohr magnetons follow the coordinates.
Positions (direct):
1 Ni 0.500 0.500 0.217  0.59
2 Ni 0.000 0.000 0.007  0.53
3 Cu 0.500 0.500 0.779  0.01
4 Au 0.000 0.000 0.497  0.00



6.
Cu2NiAu: relaxed, PBE-GGA.

Lattice parameters (Å, degrees): 8.722 8.722 8.722 17.81 17.81 17.81
Positions (direct):
1 Cu 0.507 0.507 0.507
2 Ni 0.250 0.250 0.250
3 Au 0.750 0.750 0.750
4 Cu 0.993 0.993 0.993



7.
CuNi2Au: relaxed, PBE-GGA.

Lattice parameters (Å, degrees): 2.695 2.695 8.591 80.98 80.98 60.00
Site moments in Bohr magnetons follow the coordinates.
Positions (direct):
1 Ni 0.244 0.244 0.267  0.41
2 Au 0.667 0.667 0.999  -0.01
3 Ni 0.089 0.089 0.733  0.42
4 Cu 0.500 0.500 0.500  0.00



8.
Cu2NiAu: relaxed, PBE-GGA.

Lattice parameters (Å, degrees): 3.612 3.612 9.246 78.74 78.74 90.00
Positions (direct):
1 Au 0.000 0.000 0.000
2 Ni 0.250 0.750 0.500
3 Cu 0.875 0.861 0.750
4 Cu 0.375 0.389 0.750
5 Ni 0.500 0.500 0.000
6 Cu 0.611 0.125 0.250
7 Au 0.750 0.250 0.500
8 Cu 0.139 0.625 0.250



| no. | ΔH_f (0 K) (eV per atom) |
| --- | --- |
| 1 | 0.11 |
| 2 | 0.11 |
| 3 | 0.39 |
| 4 | 0.08 |
| 5 | 0.07 |
| 6 | 0.11 |
| 7 | 0.18 |
| 8 | 0.31 |